Below is a geometry-optimized Nd7Y2Sc2 structure, with properties calculated at the PBE-GGA level.

It has space group C2/m (No. 12), with a = 10.9929 Å, b = 11.5991 Å, c = 6.1147 Å, α = 90.00°, β = 111.11° and γ = 90.00°. The asymmetric unit holds Nd at (0.0000, 0.0000, 0.0000), Nd at (0.0766, 0.5000, 0.7948), Nd at (0.1814, 0.2365, 0.1907), Y at (0.2109, 0.0000, 0.5870) and Sc at (0.0000, 0.2255, 0.5000).

The distance to the lowest polymorph of the same formula is 6 meV per atom. The calculation puts the formation energy at 0.144 eV/atom. Its total magnetic moment is 0.00 μB/f.u.